Record 1
Computed, not measured: MgZr3Mn after structural relaxation at the PBE-GGA level of DFT.

Cell lengths 4.973, 4.973, 4.973 Å; angles 90.00, 90.00, 90.00 degrees
Element x y z (fractional)
Mg 0.000 0.000 0.000
Zr 0.000 0.000 0.500
Zr 0.000 0.500 0.000
Zr 0.500 0.000 0.000
Mn 0.500 0.500 0.500

Crystal system: cubic
Electronic total energy, eV/atom: -5.553

***

Record 2
Computed, not measured: PmInAu4 after structural relaxation at the PBE-GGA level of DFT.

Cell lengths 9.538, 3.951, 7.220 Å; angles 90.00, 109.66, 90.00 degrees
Element x y z (fractional)
Pm 0.000 0.000 0.000
Pm 0.500 0.500 0.000
In 0.000 0.000 0.500
In 0.500 0.500 0.500
Au 0.162 0.500 0.819
Au 0.168 0.500 0.337
Au 0.332 0.000 0.663
Au 0.338 0.000 0.181
Au 0.662 0.000 0.819
Au 0.668 0.000 0.337
Au 0.832 0.500 0.663
Au 0.838 0.500 0.181

Crystal system: monoclinic
Electronic total energy, eV/atom: -3.908

***

The records above give, respectively, E_form values of 1.73; -0.47 eV/atom.